a | This record from the Alexandria database describes an optimized crystal structure of PrNd2Te. The functional is GGA-PBE.

Cell: 11.183 11.183 11.183 Å, 20.47 20.47 20.47°
Fractional positions:
Pr1 0.000 0.000 0.000
Nd1 0.103 0.103 0.103
Nd2 0.897 0.897 0.897
Te1 0.500 0.500 0.500

=====

b | This record from the Alexandria database describes an optimized crystal structure of PrNd2Te. The functional is GGA-PBE.

Cell: 3.993 3.993 8.115 Å, 90.00 90.00 90.00°
Fractional positions:
Pr1 0.000 0.000 0.000
Nd1 0.500 0.500 0.282
Nd2 0.500 0.500 0.718
Te1 0.000 0.000 0.500

=====

Short version: b is the most stable of them.

=====

a | This record from the Alexandria database describes an optimized crystal structure of PrNd2Te. The functional is GGA-PBE.

Cell: 4.931 4.931 4.942 Å, 90.00 90.00 90.00°
Fractional positions:
Pr1 0.000 0.000 0.000
Nd1 0.000 0.500 0.500
Nd2 0.500 0.000 0.500
Te1 0.500 0.500 0.000

=====

b | This record from the Alexandria database describes an optimized crystal structure of PrNd2Te. The functional is GGA-PBE.

Cell: 10.295 10.295 10.295 Å, 22.66 22.66 22.66°
Fractional positions:
Pr1 0.000 0.000 0.000
Nd1 0.237 0.237 0.237
Nd2 0.429 0.429 0.429
Te1 0.833 0.833 0.833

=====

c | This record from the Alexandria database describes an optimized crystal structure of PrNd2Te. The functional is GGA-PBE.

Cell: 6.531 6.531 10.310 Å, 90.00 90.00 143.33°
Fractional positions:
Pr1 0.058 0.942 0.750
Pr2 0.942 0.058 0.250
Nd1 0.364 0.636 0.536
Nd2 0.364 0.636 0.964
Nd3 0.636 0.364 0.036
Nd4 0.636 0.364 0.464
Te1 0.231 0.769 0.250
Te2 0.769 0.231 0.750

=====

Short version: c is the most stable of them.

=====

a | This record from the Alexandria database describes an optimized crystal structure of PrNd3Te6. The functional is GGA-PBE.

Cell: 8.319 8.319 7.817 Å, 117.90 117.90 62.45°
Fractional positions:
Pr1 0.000 0.000 0.000
Nd1 0.250 0.250 0.681
Nd2 0.500 0.500 0.500
Nd3 0.750 0.750 0.319
Te1 0.160 0.659 0.659
Te2 0.251 0.251 0.078
Te3 0.341 0.840 0.341
Te4 0.659 0.160 0.659
Te5 0.749 0.749 0.922
Te6 0.840 0.341 0.341

=====

b | This record from the Alexandria database describes an optimized crystal structure of PrNd3Te6. The functional is GGA-PBE.

Cell: 12.775 4.497 13.166 Å, 90.00 109.19 90.00°
Fractional positions:
Pr1 0.045 0.250 0.194
Pr2 0.955 0.750 0.806
Nd1 0.156 0.250 0.581
Nd2 0.318 0.750 0.998
Nd3 0.431 0.250 0.332
Nd4 0.569 0.750 0.668
Nd5 0.682 0.250 0.002
Nd6 0.844 0.750 0.419
Te1 0.085 0.750 0.399
Te2 0.113 0.250 0.967
Te3 0.191 0.750 0.751
Te4 0.251 0.750 0.220
Te5 0.394 0.250 0.562
Te6 0.486 0.250 0.118
Te7 0.514 0.750 0.882
Te8 0.606 0.750 0.438
Te9 0.749 0.250 0.780
Te10 0.809 0.250 0.249
Te11 0.887 0.750 0.033
Te12 0.915 0.250 0.601

=====

Short version: b is the most stable of them.

=====

a | This record from the Alexandria database describes an optimized crystal structure of Pr3NdTe4. The functional is GGA-PBE.

Cell: 4.441 4.441 30.673 Å, 90.00 90.00 120.00°
Fractional positions:
Pr1 0.000 0.000 0.000
Pr2 0.000 0.000 0.500
Pr3 0.333 0.667 0.124
Pr4 0.333 0.667 0.376
Pr5 0.667 0.333 0.624
Pr6 0.667 0.333 0.876
Nd1 0.333 0.667 0.750
Nd2 0.667 0.333 0.250
Te1 0.000 0.000 0.187
Te2 0.000 0.000 0.313
Te3 0.000 0.000 0.687
Te4 0.000 0.000 0.813
Te5 0.333 0.667 0.562
Te6 0.333 0.667 0.938
Te7 0.667 0.333 0.062
Te8 0.667 0.333 0.438

=====

b | This record from the Alexandria database describes an optimized crystal structure of Pr3NdTe4. The functional is GGA-PBE.

Cell: 7.861 7.861 4.480 Å, 90.00 90.00 108.97°
Fractional positions:
Pr1 0.000 0.000 0.000
Pr2 0.000 0.500 0.500
Pr3 0.500 0.000 0.500
Nd1 0.500 0.500 0.000
Te1 0.251 0.749 0.000
Te2 0.252 0.252 0.500
Te3 0.748 0.748 0.500
Te4 0.749 0.251 0.000

=====

Short version: b is the most stable of them.